No. 1
PBE ErRu4, relaxed; uncorrected energy = -6.055 eV/atom; Fermi-level density of states = 10.4 states/eV/f.u.; energy of formation = 2278 meV per atom; spin magnetization = 5.62 Bohr magnetons per cell
1.0
4.7231 0.0000 0.0000
0.0000 4.7231 0.0000
0.0000 0.0000 4.7231
Er Ru
1 4
direct
0.0000 0.0000 0.0000
0.0000 0.0000 0.5000
0.0000 0.5000 0.0000
0.5000 0.0000 0.0000
0.5000 0.5000 0.5000


No. 2
PBE RbZn2Br2, relaxed; uncorrected energy = -1.934 eV/atom; energy relative to the elements, uncorrected = -0.56 eV per atom; Fermi-level density of states = 0.6 states/eV/f.u.; offset from the most stable computed form = 59.2 meV/atom; spin magnetization = 0.00 Bohr magnetons per cell
1.0
9.2698 0.0000 0.0000
0.0000 9.2698 0.0000
0.0000 0.0000 5.0531
Rb Zn Br
2 4 4
direct
0.0000 0.0000 0.0000
0.5000 0.5000 0.0000
0.0952 0.4048 0.5000
0.4048 0.9048 0.5000
0.5952 0.0952 0.5000
0.9048 0.5952 0.5000
0.1803 0.3197 0.0000
0.3197 0.8197 0.0000
0.6803 0.1803 0.0000
0.8197 0.6803 0.0000


No. 3
PBE Tl2CoSb2, relaxed; uncorrected energy = -3.924 eV/atom; energy relative to the elements, uncorrected = 0.09 eV per atom; Fermi-level density of states = 2.9 states/eV/f.u.; spin magnetization = 0.00 Bohr magnetons per cell
1.0
6.5849 0.0000 0.0000
0.0000 6.5849 0.0000
0.0000 0.0000 6.1275
Tl Co Sb
4 2 4
direct
0.1831 0.3169 0.0000
0.3169 0.8169 0.0000
0.6831 0.1831 0.0000
0.8169 0.6831 0.0000
0.0000 0.0000 0.5000
0.5000 0.5000 0.5000
0.1555 0.6555 0.5000
0.3445 0.1555 0.5000
0.6555 0.8445 0.5000
0.8445 0.3445 0.5000


No. 4
PBE AlCoSi3, relaxed; uncorrected energy = -5.071 eV/atom; energy relative to the elements, uncorrected = 0.35 eV per atom; Fermi-level density of states = 3.2 states/eV/f.u.; offset from the most stable computed form = 0.0 meV/atom; spin magnetization = 0.00 Bohr magnetons per cell
1.0
4.3799 0.0000 0.0000
0.0000 4.3799 0.0000
0.0000 0.0000 4.3799
Al Co Si
1 1 3
direct
0.0000 0.0000 0.0000
0.5000 0.5000 0.5000
0.0000 0.5000 0.5000
0.5000 0.0000 0.5000
0.5000 0.5000 0.0000


No. 5
PBE RbAgI2Br, relaxed; uncorrected energy = -2.436 eV/atom; energy relative to the elements, uncorrected = -0.72 eV per atom; Fermi-level density of states = 1.5 states/eV/f.u.; spin magnetization = 0.00 Bohr magnetons per cell
1.0
5.7926 0.0000 0.0000
0.0000 5.7926 0.0000
0.0000 0.0000 5.5513
Rb Ag I Br
1 1 2 1
direct
0.0000 0.0000 0.0000
0.5000 0.5000 0.5000
0.0000 0.5000 0.5000
0.5000 0.0000 0.5000
0.5000 0.5000 0.0000


No. 6
PBE U5Ni2P5, relaxed; uncorrected energy = -8.639 eV/atom; Fermi-level density of states = 19.4 states/eV/f.u.; energy of formation = -718 meV per atom; spin magnetization = 3.42 Bohr magnetons per cell
1.0
6.4482 -1.8968 0.0000
6.4482 1.8968 0.0000
-5.2759 0.0000 9.0348
U Ni P
5 2 5
direct
0.0000 0.0000 0.0000
0.1596 0.1596 0.5315
0.1739 0.1739 0.7759
0.8261 0.8261 0.2241
0.8404 0.8404 0.4685
0.4329 0.4329 0.7153
0.5671 0.5671 0.2847
0.1812 0.1812 0.2791
0.3836 0.3836 0.0739
0.5000 0.5000 0.5000
0.6164 0.6164 0.9261
0.8188 0.8188 0.7209


No. 7
PBE La6As5Se, relaxed; uncorrected energy = -6.377 eV/atom; energy relative to the elements, uncorrected = -1.69 eV per atom; Fermi-level density of states = 3.0 states/eV/f.u.; spin magnetization = 0.00 Bohr magnetons per cell
1.0
3.7807 -6.5471 0.0000
3.7807 6.5471 0.0000
-2.5192 0.0000 7.1323
La As Se
6 5 1
direct
0.0783 0.4158 0.7475
0.2467 0.2467 0.2528
0.4158 0.0783 0.7475
0.5842 0.9217 0.2525
0.7533 0.7533 0.7472
0.9217 0.5842 0.2525
0.0000 0.0000 0.5000
0.1670 0.8330 0.0000
0.3343 0.6657 0.5000
0.6657 0.3343 0.5000
0.8330 0.1670 0.0000
0.5000 0.5000 0.0000


No. 8
PBE NaCd2AgH, relaxed; uncorrected energy = -1.761 eV/atom; Fermi-level density of states = 1.2 states/eV/f.u.; spin magnetization = 0.00 Bohr magnetons per cell
1.0
4.5413 0.0000 0.0000
0.0000 4.5413 0.0000
0.0000 0.0000 4.3466
Na Cd Ag H
1 2 1 1
direct
0.0000 0.0000 0.0000
0.0000 0.5000 0.5000
0.5000 0.0000 0.5000
0.5000 0.5000 0.0000
0.0000 0.0000 0.5000


No. 9
PBE TcP2HSe, relaxed; uncorrected energy = -4.858 eV/atom; Fermi-level density of states = 3.3 states/eV/f.u.; spin magnetization = 0.00 Bohr magnetons per cell
1.0
4.6997 0.0000 0.0000
0.0000 4.6997 0.0000
0.0000 0.0000 3.1389
Tc P H Se
1 2 1 1
direct
0.0000 0.0000 0.0000
0.0000 0.5000 0.5000
0.5000 0.0000 0.5000
0.5000 0.5000 0.0000
0.5000 0.5000 0.5000


No. 10
PBE Hf2ZrSi, relaxed; uncorrected energy = -8.394 eV/atom; energy relative to the elements, uncorrected = 0.08 eV per atom; Fermi-level density of states = 3.3 states/eV/f.u.; spin magnetization = 0.00 Bohr magnetons per cell
1.0
-3.9723 3.9723 2.7486
3.9723 -3.9723 2.7486
3.9723 3.9723 -2.7486
Hf Zr Si
4 2 2
direct
0.0756 0.6250 0.9506
0.3750 0.3256 0.4506
0.6744 0.1250 0.0494
0.8750 0.9244 0.5494
0.2500 0.7500 0.5000
0.5000 0.5000 0.0000
0.0000 0.0000 0.0000
0.7500 0.2500 0.5000


No. 11
PBE Mo2Ir2Se, relaxed; uncorrected energy = -8.137 eV/atom; energy relative to the elements, uncorrected = 0.44 eV per atom; Fermi-level density of states = 4.4 states/eV/f.u.; offset from the most stable computed form = 234.0 meV/atom; spin magnetization = 0.00 Bohr magnetons per cell
1.0
-1.9332 1.9332 6.0510
1.9332 -1.9332 6.0510
1.9332 1.9332 -6.0510
Mo Ir Se
2 2 1
direct
0.2500 0.7500 0.5000
0.7500 0.2500 0.5000
0.1080 0.1080 0.0000
0.8920 0.8920 0.0000
0.5000 0.5000 0.0000


No. 12
PBE Cs2PaSnSe4, relaxed; uncorrected energy = -4.780 eV/atom; energy relative to the elements, uncorrected = -1.14 eV per atom; Fermi-level density of states = 5.7 states/eV/f.u.; spin magnetization = 1.00 Bohr magnetons per cell
1.0
7.7199 0.0000 0.0000
0.0000 4.3769 0.0000
-2.4583 0.0000 8.2757
Cs Pa Sn Se
2 1 1 4
direct
0.0000 0.0000 0.0000
0.5000 0.5000 0.0000
0.0000 0.5000 0.5000
0.5000 0.0000 0.5000
0.2150 0.0000 0.6848
0.2502 0.5000 0.3133
0.7498 0.5000 0.6867
0.7850 0.0000 0.3152


No. 13
PBE BiIr, relaxed; uncorrected energy = -5.910 eV/atom; Fermi-level density of states = 1.1 states/eV/f.u.; energy of formation = 461 meV per atom; spin magnetization = 0.00 Bohr magnetons per cell
1.0
5.5483 0.0000 0.0000
0.0000 5.5483 0.0000
0.0000 0.0000 5.7083
Bi Ir
4 4
direct
0.2097 0.2097 0.0000
0.2903 0.7097 0.5000
0.7097 0.2903 0.5000
0.7903 0.7903 0.0000
0.1944 0.1944 0.5000
0.3056 0.6944 0.0000
0.6944 0.3056 0.0000
0.8056 0.8056 0.5000


No. 14
PBE CaPm4NdS8, relaxed; uncorrected energy = -6.175 eV/atom; energy relative to the elements, uncorrected = -1.98 eV per atom; Fermi-level density of states = 3.4 states/eV/f.u.; spin magnetization = 0.00 Bohr magnetons per cell
1.0
4.1486 2.3952 6.7902
-4.1486 2.3952 6.7902
0.0000 -4.7904 6.7902
Ca Pm Nd S
1 4 1 8
direct
0.0000 0.0000 0.0000
0.3730 0.3730 0.8804
0.3730 0.8804 0.3730
0.7497 0.7497 0.7497
0.8804 0.3730 0.3730
0.3729 0.3729 0.3729
0.1324 0.1324 0.5989
0.1324 0.5989 0.1324
0.1338 0.1338 0.1338
0.1487 0.6178 0.6178
0.5989 0.1324 0.1324
0.6166 0.6166 0.6166
0.6178 0.1487 0.6178
0.6178 0.6178 0.1487


No. 15
PBE Cr2RePb, relaxed; uncorrected energy = -8.205 eV/atom; Fermi-level density of states = 3.2 states/eV/f.u.; energy of formation = 646 meV per atom; spin magnetization = 0.35 Bohr magnetons per cell
1.0
2.9269 0.0000 0.0000
0.0000 3.7975 0.0000
-0.0158 0.0000 5.9281
Cr Re Pb
2 1 1
direct
0.0000 0.0000 0.0000
0.4907 0.5000 0.1937
0.4992 0.5000 0.8175
0.9951 0.0000 0.4896


No. 16
PBE Be3IrN, relaxed; uncorrected energy = -4.259 eV/atom; energy relative to the elements, uncorrected = 1.41 eV per atom; Fermi-level density of states = 3.4 states/eV/f.u.; offset from the most stable computed form = 1621.1 meV/atom; spin magnetization = 1.08 Bohr magnetons per cell
1.0
4.2023 0.0000 0.0000
0.0000 4.2023 0.0000
0.0000 0.0000 4.2023
Be Ir N
3 1 1
direct
0.0000 0.0000 0.5000
0.0000 0.5000 0.0000
0.5000 0.0000 0.0000
0.0000 0.0000 0.0000
0.5000 0.5000 0.5000


No. 17
PBE Sm6TeAs3P2, relaxed; uncorrected energy = -6.228 eV/atom; energy relative to the elements, uncorrected = -1.54 eV per atom; Fermi-level density of states = 1.9 states/eV/f.u.; spin magnetization = 0.00 Bohr magnetons per cell
1.0
9.1731 -2.1054 0.0000
9.1731 2.1054 0.0000
-1.9081 0.0000 8.2531
Sm Te As P
6 1 3 2
direct
0.0035 0.0035 0.2690
0.3259 0.3259 0.9059
0.3307 0.3307 0.4203
0.6693 0.6693 0.5797
0.6741 0.6741 0.0941
0.9965 0.9965 0.7310
0.5000 0.5000 0.0000
0.1637 0.1637 0.8328
0.5000 0.5000 0.5000
0.8363 0.8363 0.1672
0.1676 0.1676 0.3344
0.8324 0.8324 0.6656


No. 18
PBE CaCeTmIn, relaxed; uncorrected energy = -3.812 eV/atom; Fermi-level density of states = 9.2 states/eV/f.u.; energy of formation = -26 meV per atom; spin magnetization = 1.66 Bohr magnetons per cell
1.0
0.0000 3.9099 3.9099
3.9099 0.0000 3.9099
3.9099 3.9099 0.0000
Ca Ce Tm In
1 1 1 1
direct
0.0000 0.0000 0.0000
0.5000 0.5000 0.5000
0.2500 0.2500 0.2500
0.7500 0.7500 0.7500


No. 19
PBE NaVS3, relaxed; uncorrected energy = -3.597 eV/atom; energy relative to the elements, uncorrected = 0.97 eV per atom; Fermi-level density of states = 7.4 states/eV/f.u.; offset from the most stable computed form = 1791.3 meV/atom; spin magnetization = 3.50 Bohr magnetons per cell
1.0
4.7899 0.0000 0.0000
0.0000 4.7899 0.0000
0.0000 0.0000 4.7899
Na V S
1 1 3
direct
0.0000 0.0000 0.0000
0.5000 0.5000 0.5000
0.0000 0.0000 0.5000
0.0000 0.5000 0.0000
0.5000 0.0000 0.0000


No. 20
PBE LiAlH6, relaxed; uncorrected energy = -3.124 eV/atom; Fermi-level density of states = 0.4 states/eV/f.u.; spin magnetization = 0.00 Bohr magnetons per cell
1.0
2.8403 0.0000 0.0000
0.0021 4.5060 0.0000
0.9840 1.6756 7.4189
Li Al H
1 1 6
direct
0.0000 0.0000 0.0000
0.5000 0.5000 0.0000
0.2638 0.2031 0.3861
0.2969 0.3526 0.4123
0.4561 0.7890 0.1266
0.5439 0.2110 0.8734
0.7031 0.6474 0.5877
0.7362 0.7969 0.6139